Sc3Cu | PBE | optimized geometry

Unit cell a=3.132 b=3.326 c=8.632 alpha=90.00 beta=90.00 gamma=90.00
Atoms (fractional coordinates):
Sc (0.000, 0.000, 0.000)
Sc (0.000, 0.500, 0.321)
Sc (0.500, 0.500, 0.731)
Cu (0.500, 0.000, 0.480)

Properties
Formation energy (meV/atom): 114.1
Spin magnetization (μB/f.u.): 0.02